Entry 1:
The following is a GGA-PBE calculation of a relaxed Sr6InHg2 crystal, from Alexandria via LeMat-Bulk.

Cell: 9.794 9.794 9.794 Å, 105.29 109.44 113.79°
Element x y z (fractional)
Sr  0.545  0.721  0.824
Sr  0.455  0.279  0.176
Sr  0.102  0.279  0.824
Sr  0.898  0.721  0.176
Sr  0.812  0.754  0.566
Sr  0.188  0.246  0.434
Sr  0.188  0.754  0.941
Sr  0.812  0.246  0.059
Sr  0.702  0.363  0.662
Sr  0.298  0.637  0.338
Sr  0.298  0.960  0.662
Sr  0.702  0.040  0.338
In  0.000  0.500  0.500
In  0.000  0.000  0.000
Hg  0.500  0.367  0.867
Hg  0.500  0.633  0.133
Hg  0.669  0.000  0.669
Hg  0.331  0.000  0.331

## Properties
**ΔH_f (0 K)**: -344 meV/atom

***

Entry 2:
The following is a GGA-PBE calculation of a relaxed Y2ZrBiC crystal, from Alexandria via LeMat-Bulk.

Cell: 4.987 4.555 4.987 Å, 90.00 90.00 90.00°
Element x y z (fractional)
Y  0.000  0.000  0.500
Y  0.500  0.000  0.000
C  0.000  0.000  0.000
Bi  0.500  0.500  0.500
Zr  0.000  0.500  0.000

## Properties
**ΔH_f (0 K)**: -477 meV/atom

***

Entry 3:
The following is a GGA-PBE calculation of a relaxed Nd5HoSb6 crystal, from Alexandria via LeMat-Bulk.

Cell: 7.795 7.793 7.795 Å, 60.01 80.39 70.49°
Element x y z (fractional)
Nd  0.500  0.169  0.663
Nd  0.000  0.334  0.332
Nd  0.500  0.500  0.000
Nd  0.000  0.666  0.668
Nd  0.500  0.831  0.337
Ho  0.000  0.000  0.000
Sb  0.754  0.082  0.328
Sb  0.246  0.590  0.328
Sb  0.248  0.245  0.000
Sb  0.752  0.755  0.000
Sb  0.754  0.410  0.672
Sb  0.246  0.918  0.672

## Properties
**E_form (uncorrected)**: -1.17 eV per atom

***

Entry 4:
The following is a GGA-PBE calculation of a relaxed TaNbCu2C crystal, from Alexandria via LeMat-Bulk.

Cell: 3.987 4.295 3.987 Å, 90.00 90.00 90.00°
Element x y z (fractional)
Nb  0.500  0.500  0.500
C  0.000  0.000  0.000
Cu  0.000  0.000  0.500
Cu  0.500  0.000  0.000
Ta  0.000  0.500  0.000

## Properties
**ΔH_f (0 K)**: 364 meV/atom

***

Entry 5:
The following is a GGA-PBE calculation of a relaxed Mg2CoNi crystal, from Alexandria via LeMat-Bulk.

Cell: 8.630 8.630 8.630 Å, 18.77 18.77 18.77°
Last column: magnetic moment on the atom in μB.
Element x y z (fractional)
Co  0.750  0.750  0.750  1.53
Mg  0.999  0.999  0.999  0.00
Mg  0.501  0.501  0.501  0.00
Ni  0.250  0.250  0.250  0.17

## Properties
**Offset from the most stable computed form**: 149.9 meV/atom
**ΔH_f (0 K)**: 170 meV/atom

***

Entry 6:
The following is a GGA-PBE calculation of a relaxed BeIr3W crystal, from Alexandria via LeMat-Bulk.

Cell: 4.127 4.127 4.127 Å, 90.00 90.00 90.00°
Last column: magnetic moment on the atom in μB.
Element x y z (fractional)
Be  0.000  0.000  0.000  0.00
Ir  0.000  0.500  0.000  -0.01
Ir  0.000  0.000  0.500  0.01
Ir  0.500  0.000  0.000  -0.03
W  0.500  0.500  0.500  0.89

## Properties
**Offset from the most stable computed form**: 0.0 meV/atom
**ΔH_f (0 K)**: 356 meV/atom

***

Entry 7:
The following is a GGA-PBE calculation of a relaxed CaDyY4Er2 crystal, from Alexandria via LeMat-Bulk.

Cell: 9.601 9.601 11.945 Å, 128.55 128.55 88.31°
Last column: magnetic moment on the atom in μB.
Element x y z (fractional)
Ca  0.500  0.500  0.500  0.03
Ca  0.000  0.000  0.000  0.03
Dy  0.000  0.500  0.000  0.34
Dy  0.000  0.500  0.500  0.34
Y  0.255  0.745  0.001  0.24
Y  0.755  0.245  0.499  0.24
Y  0.245  0.755  0.501  0.24
Y  0.745  0.255  0.999  0.24
Y  0.743  0.745  0.011  0.20
Y  0.755  0.757  0.489  0.20
Y  0.245  0.243  0.511  0.20
Y  0.257  0.255  0.989  0.20
Er  0.500  0.000  0.000  0.32
Er  0.500  0.000  0.500  0.32
Er  0.000  0.000  0.500  0.23
Er  0.500  0.500  0.000  0.23

## Properties
**ΔH_f (0 K)**: 445 meV/atom

***

Entry 8:
The following is a GGA-PBE calculation of a relaxed Sc2ReTc crystal, from Alexandria via LeMat-Bulk.

Cell: 3.231 4.781 6.493 Å, 42.68 90.00 90.00°
Element x y z (fractional)
Re  0.000  0.000  0.500
Sc  0.000  0.000  0.000
Sc  0.500  0.500  0.000
Tc  0.500  0.500  0.500

## Properties
**Offset from the most stable computed form**: 162.2 meV/atom
**ΔH_f (0 K)**: 3 meV/atom

***

Entry 9:
The following is a GGA-PBE calculation of a relaxed La8GePd3I4 crystal, from Alexandria via LeMat-Bulk.

Cell: 8.744 9.444 8.753 Å, 117.64 119.97 90.00°
Element x y z (fractional)
La  0.236  0.703  0.967
La  0.236  0.702  0.472
La  0.268  0.305  0.536
La  0.731  0.703  0.967
La  0.269  0.297  0.033
La  0.732  0.695  0.464
La  0.764  0.298  0.528
La  0.764  0.297  0.033
Ge  0.000  0.500  0.000
Pd  0.500  0.500  0.000
Pd  0.500  0.500  0.500
Pd  0.000  0.500  0.500
I  0.500  0.000  0.000
I  0.500  0.000  0.500
I  0.000  0.000  0.000
I  0.000  0.000  0.500

## Properties
**E_form (uncorrected)**: -0.95 eV per atom

***

Entry 10:
The following is a GGA-PBE calculation of a relaxed Cs2MgIBr3 crystal, from Alexandria via LeMat-Bulk.

Cell: 5.852 5.523 9.844 Å, 106.29 107.29 90.00°
Element x y z (fractional)
Cs  0.647  0.647  0.293
Cs  0.353  0.353  0.707
Mg  0.000  0.000  0.000
I  0.500  0.000  0.000
Br  0.000  0.500  0.000
Br  0.150  0.150  0.299
Br  0.850  0.850  0.701

## Properties
**E_form (uncorrected)**: -1.56 eV per atom

***

Entry 11:
The following is a GGA-PBE calculation of a relaxed ZrSi crystal, from Alexandria via LeMat-Bulk.

Cell: 3.530 3.530 7.384 Å, 90.00 90.00 120.00°
Element x y z (fractional)
Si  0.000  0.000  0.049
Si  0.667  0.333  0.201
Zr  0.000  0.000  0.456
Zr  0.667  0.333  0.794

## Properties
**E_form (uncorrected)**: -0.25 eV per atom

***

Entry 12:
The following is a GGA-PBE calculation of a relaxed Cs4Rb2BeAs2 crystal, from Alexandria via LeMat-Bulk.

Cell: 5.858 10.807 10.807 Å, 84.40 72.43 72.43°
Element x y z (fractional)
Cs  0.309  0.727  0.029
Cs  0.691  0.971  0.273
Cs  0.691  0.273  0.971
Cs  0.309  0.029  0.727
Rb  0.083  0.644  0.644
Rb  0.917  0.356  0.356
Be  0.500  0.000  0.000
As  0.186  0.124  0.124
As  0.814  0.876  0.876

## Properties
**ΔH_f (0 K)**: -218 meV/atom

***

Entry 13:
The following is a GGA-PBE calculation of a relaxed Sc3Zn4Cu2 crystal, from Alexandria via LeMat-Bulk.

Cell: 4.326 5.385 7.565 Å, 74.89 73.39 66.31°
Element x y z (fractional)
Sc  0.324  0.702  0.650
Sc  0.000  0.000  0.000
Sc  0.676  0.298  0.350
Zn  0.283  0.381  0.053
Zn  0.717  0.619  0.947
Zn  0.037  0.298  0.628
Zn  0.963  0.702  0.372
Cu  0.409  0.922  0.260
Cu  0.591  0.078  0.740

## Properties
**ΔH_f (0 K)**: -313 meV/atom

***

Entry 14:
The following is a GGA-PBE calculation of a relaxed POsC crystal, from Alexandria via LeMat-Bulk.

Cell: 4.699 2.834 7.379 Å, 90.00 118.47 90.00°
Element x y z (fractional)
P  0.568  0.000  0.767
P  0.568  0.500  0.267
C  0.150  0.000  0.679
C  0.150  0.500  0.179
Os  0.818  0.000  0.121
Os  0.818  0.500  0.621

## Properties
**Offset from the most stable computed form**: 160.1 meV/atom
**ΔH_f (0 K)**: 553 meV/atom

***

Entry 15:
The following is a GGA-PBE calculation of a relaxed PrSm2Tm8 crystal, from Alexandria via LeMat-Bulk.

Cell: 5.442 8.031 9.367 Å, 115.38 106.87 90.00°
Element x y z (fractional)
Pr  0.500  0.000  0.000
Sm  0.200  0.700  0.400
Sm  0.800  0.300  0.600
Tm  0.640  0.848  0.281
Tm  0.360  0.567  0.719
Tm  0.162  0.162  0.324
Tm  0.000  0.294  0.000
Tm  0.838  0.838  0.676
Tm  0.640  0.433  0.281
Tm  0.360  0.152  0.719
Tm  0.000  0.706  0.000

## Properties
**Offset from the most stable computed form**: 88.1 meV/atom
**ΔH_f (0 K)**: 115 meV/atom

***

Entry 16:
The following is a GGA-PBE calculation of a relaxed LaHo6Se8 crystal, from Alexandria via LeMat-Bulk.

Cell: 8.123 8.123 8.123 Å, 60.00 60.00 60.00°
Element x y z (fractional)
La  0.000  0.000  0.000
Ho  0.000  0.500  0.500
Ho  0.500  0.000  0.000
Ho  0.500  0.500  0.000
Ho  0.000  0.000  0.500
Ho  0.000  0.500  0.000
Ho  0.500  0.000  0.500
Se  0.750  0.750  0.750
Se  0.250  0.250  0.250
Se  0.737  0.263  0.263
Se  0.263  0.737  0.737
Se  0.263  0.263  0.737
Se  0.737  0.737  0.263
Se  0.737  0.263  0.737
Se  0.263  0.737  0.263

## Properties
**Offset from the most stable computed form**: 0.0 meV/atom
**E_form (uncorrected)**: -1.81 eV per atom

***

Entry 17:
The following is a GGA-PBE calculation of a relaxed KTmPtO3 crystal, from Alexandria via LeMat-Bulk.

Cell: 3.310 6.680 10.184 Å, 106.26 90.00 90.00°
Element x y z (fractional)
K  0.750  0.742  0.741
K  0.250  0.258  0.259
Tm  0.250  0.671  0.124
Tm  0.750  0.329  0.876
Pt  0.250  0.096  0.591
Pt  0.750  0.904  0.409
O  0.250  0.707  0.355
O  0.750  0.904  0.197
O  0.750  0.439  0.100
O  0.750  0.293  0.645
O  0.250  0.561  0.900
O  0.250  0.096  0.803

## Properties
**E_form (uncorrected)**: -1.81 eV per atom

***

Entry 18:
The following is a GGA-PBE calculation of a relaxed Sn3HSe crystal, from Alexandria via LeMat-Bulk.

Cell: 5.635 5.635 5.635 Å, 90.00 90.00 90.00°
Last column: magnetic moment on the atom in μB.
Element x y z (fractional)
H  0.500  0.500  0.500  0.24
Sn  0.000  0.500  0.000  0.00
Sn  0.000  0.000  0.500  -0.03
Sn  0.500  0.000  0.000  0.03
Se  0.000  0.000  0.000  -0.01

## Properties
**Offset from the most stable computed form**: 596.8 meV/atom

***

Entry 19:
The following is a GGA-PBE calculation of a relaxed PmNdDyCd crystal, from Alexandria via LeMat-Bulk.

Cell: 3.668 3.668 9.098 Å, 90.00 90.00 90.00°
Element x y z (fractional)
Pm  0.500  0.500  0.795
Nd  0.000  0.000  0.077
Dy  0.500  0.500  0.350
Cd  0.000  0.000  0.563

## Properties
**Offset from the most stable computed form**: 0.0 meV/atom
**ΔH_f (0 K)**: -151 meV/atom

***

Entry 20:
The following is a GGA-PBE calculation of a relaxed AcBC crystal, from Alexandria via LeMat-Bulk.

Cell: 5.771 4.079 7.165 Å, 102.84 90.00 135.02°
Element x y z (fractional)
C  0.824  0.647  0.675
C  0.176  0.353  0.325
B  0.078  0.155  0.114
B  0.922  0.845  0.886
Ac  0.663  0.325  0.289
Ac  0.337  0.675  0.711

## Properties
**Offset from the most stable computed form**: 0.0 meV/atom
**ΔH_f (0 K)**: -207 meV/atom